No. 1
A plane-wave DFT calculation with PBE-GGA was carried out for MnTl2ReMo after structural relaxation.

Geometry as POSCAR:
```
MnTl2ReMo
1.0
5.325 0.000 0.000
0.000 5.325 0.000
0.000 0.000 4.645
Mn Tl Re Mo
1 2 1 1
Direct
0.000 0.000 0.000
0.000 0.500 0.500
0.500 0.000 0.500
0.000 0.000 0.500
0.500 0.500 0.000
```

Values from the calculation:
- D(E_F) (states/eV/atom) = 0.654
- total moment (μB/f.u.) = 8.1
- total energy (eV per cell) = -28.90

No. 2
A plane-wave DFT calculation with PBE-GGA was carried out for MnVReMo after structural relaxation.

Geometry as POSCAR:
```
MnVReMo
1.0
0.000 3.029 3.029
3.029 0.000 3.029
3.029 3.029 0.000
Mn V Re Mo
1 1 1 1
Direct
0.000 0.000 0.000
0.750 0.750 0.750
0.500 0.500 0.500
0.250 0.250 0.250
```

Values from the calculation:
- D(E_F) (states/eV/atom) = 0.834
- total moment (μB/f.u.) = 0.5
- total energy (eV per cell) = -41.88

No. 3
A plane-wave DFT calculation with PBE-GGA was carried out for MnMoRh6 after structural relaxation.

Geometry as POSCAR:
```
MnMoRh6
1.0
5.437 0.000 0.000
0.000 5.437 0.000
0.000 0.000 3.848
Mn Mo Rh
1 1 6
Direct
0.000 0.000 0.000
0.500 0.500 0.000
0.000 0.500 0.000
0.251 0.251 0.500
0.251 0.749 0.500
0.500 0.000 0.000
0.749 0.251 0.500
0.749 0.749 0.500
```

Values from the calculation:
- D(E_F) (states/eV/atom) = 1.038
- total moment (μB/f.u.) = 3.5
- total energy (eV per cell) = -65.70

No. 4
A plane-wave DFT calculation with PBE-GGA was carried out for MnMo2Rh after structural relaxation.

Geometry as POSCAR:
```
MnMo2Rh
1.0
0.000 3.083 3.083
3.083 0.000 3.083
3.083 3.083 0.000
Mn Mo Rh
1 2 1
Direct
0.000 0.000 0.000
0.250 0.250 0.250
0.750 0.750 0.750
0.500 0.500 0.500
```

Values from the calculation:
- D(E_F) (states/eV/atom) = 1.235
- total moment (μB/f.u.) = 2.2
- offset from the most stable computed form (meV per atom) = 272

No. 5
A plane-wave DFT calculation with PBE-GGA was carried out for MnMo2Rh after structural relaxation.

Geometry as POSCAR:
```
MnMo2Rh
1.0
-1.830 1.830 9.550
1.830 -1.830 9.550
1.830 1.830 -9.550
Mn Mo Rh
2 4 2
Direct
0.000 0.000 0.000
0.750 0.250 0.500
0.111 0.625 0.986
0.375 0.361 0.486
0.639 0.125 0.014
0.875 0.889 0.514
0.250 0.750 0.500
0.500 0.500 0.000
```

Values from the calculation:
- D(E_F) (states/eV/atom) = 0.768
- total moment (μB/f.u.) = 3.6
- offset from the most stable computed form (meV per atom) = 503

No. 6
A plane-wave DFT calculation with PBE-GGA was carried out for MnMo2Rh after structural relaxation.

Geometry as POSCAR:
```
MnMo2Rh
1.0
4.718 -1.438 0.000
4.718 1.438 0.000
-1.023 0.000 4.402
Mn Mo Rh
1 2 1
Direct
0.000 0.000 0.000
0.247 0.247 0.747
0.753 0.753 0.253
0.500 0.500 0.500
```

Values from the calculation:
- D(E_F) (states/eV/atom) = 0.787
- total moment (μB/f.u.) = 3.0
- offset from the most stable computed form (meV per atom) = 103

No. 7
A plane-wave DFT calculation with PBE-GGA was carried out for MnMoRh4 after structural relaxation.

Geometry as POSCAR:
```
MnMoRh4
1.0
0.000 3.585 3.585
3.585 0.000 3.585
3.585 3.585 0.000
Mn Mo Rh
1 1 4
Direct
0.000 0.000 0.000
0.250 0.250 0.250
0.124 0.625 0.625
0.625 0.124 0.625
0.625 0.625 0.124
0.625 0.625 0.625
```

Values from the calculation:
- D(E_F) (states/eV/atom) = 0.949
- total moment (μB/f.u.) = 4.1
- offset from the most stable computed form (meV per atom) = 317

No. 8
A plane-wave DFT calculation with PBE-GGA was carried out for MnMo2Rh after structural relaxation.

Geometry as POSCAR:
```
MnMo2Rh
1.0
2.713 0.000 0.000
0.000 3.929 0.000
-0.486 0.000 5.403
Mn Mo Rh
1 2 1
Direct
0.000 0.000 0.000
0.447 0.500 0.240
0.553 0.500 0.760
0.000 0.000 0.500
```

Values from the calculation:
- D(E_F) (states/eV/atom) = 0.854
- total moment (μB/f.u.) = 1.7
- offset from the most stable computed form (meV per atom) = 21